# 1
DFT (PBE-GGA) results for an optimized crystal structure of MgNpGaPt.

```
MgNpGaPt
1.0
4.8141 0.0000 0.0000
2.4070 4.1691 0.0000
2.4070 1.3897 3.9307
Pt Ga Np Mg
1 1 1 1
direct
0.7500 0.7500 0.7500
0.2500 0.2500 0.2500
0.5000 0.5000 0.5000
0.0000 0.0000 0.0000
```

Crystal system: cubic
Symmetry: No. 216
Formation enthalpy at 0 K, eV/atom: -0.375

=====

# 2
DFT (PBE-GGA) results for an optimized crystal structure of MgNpGaRu.

```
MgNpGaRu
1.0
4.7320 0.0000 0.0000
2.3660 4.0981 0.0000
2.3660 1.3660 3.8637
Ru Np Ga Mg
1 1 1 1
direct
0.7500 0.7500 0.7500
0.5000 0.5000 0.5000
0.2500 0.2500 0.2500
0.0000 0.0000 0.0000
```

Crystal system: cubic
Symmetry: No. 216
Formation enthalpy at 0 K, eV/atom: 0.061

=====

# 3
DFT (PBE-GGA) results for an optimized crystal structure of MgNpGaSi.

```
MgNpGaSi
1.0
-0.5162 1.7095 -4.4411
3.5682 -0.4333 -3.1611
-0.4261 -3.0172 -3.6915
Mg Si Ga Np
1 1 1 1
direct
0.5000 0.5000 0.5000
0.7500 0.7500 0.7500
0.2500 0.2500 0.2500
0.0000 0.0000 0.0000
```

Energy relative to the elements, uncorrected, eV/f.u.: -0.2
Crystal system: cubic
Symmetry: No. 216